1.
NaBi2F SCAN single point on PBEsol structure; DFT total energy = -41.7387 eV per atom; total moment = 0.00 μB/f.u.; energy relative to the elements, uncorrected = -49.2 kJ/mol of atoms
1.0
-4.021 -2.958 0.030
0.394 -4.762 -1.444
-0.376 -3.667 3.365
Na Bi F
1 2 1
direct
0.500 0.500 0.500 Na
0.250 0.250 0.250 Bi
0.750 0.750 0.750 Bi
0.000 0.000 0.000 F

2.
NaBi2PF SCAN single point on PBEsol structure; DFT total energy = -34.3993 eV per atom; total moment = 0.00 μB/f.u.; energy relative to the elements, uncorrected = 64.0 kJ/mol of atoms
1.0
4.685 0.000 0.000
0.000 5.315 0.000
0.000 0.000 5.315
P F Bi Na
1 1 2 1
direct
0.500 0.000 0.000 P
0.500 0.500 0.500 F
0.000 0.000 0.500 Bi
0.000 0.500 0.000 Bi
0.000 0.000 0.000 Na

| no. | D(E_F) (states/eV/atom) |
| --- | --- |
| 1 | 0.366 |
| 2 | 0.622 |